--- 1 ---
This record from OQMD via LeMat-Bulk describes an optimized crystal structure of La2Co2O5. The functional is PBE+U.

M_tot (μB per cell): 1.89
Calculated volume (A^3/atom): 12.7

extended XYZ file:
```
9
Lattice="3.9256 0.0000 0.0000 0.0000 3.9256 0.0000 0.0000 0.0000 7.3982" Properties=species:S:1:pos:R:3 pbc="T T T"
La 0.0000 0.0000 0.0000
La 0.0000 0.0000 3.6991
Co 1.9628 1.9628 1.7052
Co 1.9628 1.9628 5.6930
O 0.0000 1.9628 1.5952
O 0.0000 1.9628 5.8030
O 1.9628 0.0000 1.5952
O 1.9628 0.0000 5.8030
O 1.9628 1.9628 3.6991
```

***

--- 2 ---
This record from OQMD via LeMat-Bulk describes an optimized crystal structure of La2Co2O5. The functional is PBE+U.

M_tot (μB per cell): 24.00
Calculated volume (A^3/atom): 13.6

extended XYZ file:
```
36
Lattice="5.4290 0.0000 0.0000 0.0000 15.6899 0.0000 0.0000 0.0000 5.7352" Properties=species:S:1:pos:R:3 pbc="T T T"
La 0.0655 1.7384 0.1074
La 0.0655 6.1065 0.1074
La 2.6490 9.5834 2.9750
La 2.6490 13.9515 2.9750
La 2.7801 1.7384 2.7603
La 2.7801 6.1065 2.7603
La 5.3635 9.5834 5.6279
La 5.3635 13.9515 5.6279
Co 0.0000 0.0000 2.8676
Co 0.0000 7.8450 2.8676
Co 0.2348 3.9225 3.2022
Co 2.4797 11.7674 0.3346
Co 2.7145 0.0000 0.0000
Co 2.7145 7.8450 0.0000
Co 2.9493 3.9225 5.4006
Co 5.1942 11.7674 2.5330
O 0.1894 10.0561 3.3376
O 0.1894 13.4788 3.3376
O 0.4693 11.7674 0.6583
O 1.3109 8.1284 1.3846
O 1.3109 15.4065 1.3846
O 1.4036 0.2835 4.2523
O 1.4036 7.5615 4.2523
O 2.2452 3.9225 3.5259
O 2.5251 2.2111 0.4700
O 2.5251 5.6338 0.4700
O 2.9039 10.0561 5.2652
O 2.9039 13.4788 5.2652
O 3.1838 11.7674 2.2093
O 4.0254 8.1284 1.4830
O 4.0254 15.4065 1.4830
O 4.1181 0.2835 4.3506
O 4.1181 7.5615 4.3506
O 4.9597 3.9225 5.0770
O 5.2396 2.2111 2.3976
O 5.2396 5.6338 2.3976
```

***

Computed energies relative to the best structure, in meV/atom: 1 221; 2 0